## ZnTeCl2 (PBE-GGA)

Data for ZnTeCl2 after structural relaxation.

a = 4.4916 Å, b = 4.4916 Å, c = 4.4361 Å
α = 90.00°, β = 90.00°, γ = 90.00°
Closest atoms and distances in Å follow each position.
Space group P4/mmm (No. 123)
Unique sites:
Zn  0.0000  0.0000  0.0000  8 Cl 3.16, 4 Te 3.18
Te  0.5000  0.5000  0.0000  8 Cl 3.16, 4 Zn 3.18
Cl  0.0000  0.5000  0.5000  4 Te 3.16, 4 Zn 3.16, 4 Cl 3.18

Properties
energy above the lowest structure with this stoichiometry = 3.027 eV per formula unit
magnetization = 0.000 μB per atom
DFT total energy = -7.578 eV for the cell shown
mass density = 4.9 g/cm3
formation energy from raw total energies = 51 kJ/mol of formula units